First-principles (PBEsol) data for crystalline SnTe2AuI at its relaxed geometry, as listed in the Alexandria database.

Properties
The value obtained for the formation energy from raw total energies is 0.7520 eV per atom. As for the calculated volume: 178.5 Å³/cell. For the density of states at the Fermi level, the calculation gives 5.65 states/eV/f.u. For the total magnetic moment, the calculation gives 0.0 μB per cell.

a b c (Å): 5.6099 5.6099 5.6730
angles (deg): 90.00 90.00 90.00
Space group P4/mmm (No. 123)
Symmetry-distinct sites (fractional):
Sn: 0.0000 0.0000 0.0000
Te: 0.0000 0.5000 0.0000
Au: 0.5000 0.5000 0.5000
I: 0.0000 0.0000 0.5000